Entry from Alexandria: Al5Ag3 at its PBEsol-relaxed geometry (meta-GGA SCAN).

Lattice parameters (Å, degrees): 2.9192 2.9192 17.6859 85.17 85.17 60.02
Positions (direct):
Al 0.8755 0.8755 0.3738
Al 0.6252 0.6252 0.1246
Al 0.3748 0.3748 0.8753
Al 0.1246 0.1246 0.6261
Al 0.5000 0.5000 0.5000
Ag 0.2504 0.2504 0.2495
Ag 0.7496 0.7496 0.7505
Ag 0.0000 0.0000 0.0000

## Properties
**Relative energy among the computed polymorphs**: 7 kJ/mol of formula units
**SG**: C2/m (12)
**DFT total energy**: -0.613 hartree per atom
**Formation enthalpy at 0 K**: -0.0630 eV/atom
**Total moment**: 0.000 μB/f.u.
**V**: 16.2 Å³ per atom

Entry from Alexandria: Al5Ag2 at its PBEsol-relaxed geometry (meta-GGA SCAN).

Lattice parameters (Å, degrees): 4.8738 4.9352 4.9821 99.85 99.40 99.61
Positions (direct):
Al 0.5000 0.0000 0.5000
Al 0.0758 0.2838 0.6390
Al 0.9242 0.7162 0.3610
Al 0.2133 0.8536 0.9323
Al 0.7867 0.1464 0.0677
Ag 0.6467 0.5804 0.7873
Ag 0.3533 0.4196 0.2127

## Properties
**Relative energy among the computed polymorphs**: 17 kJ/mol of formula units
**SG**: P-1 (2)
**DFT total energy**: -0.534 hartree per atom
**Formation enthalpy at 0 K**: -0.0277 eV/atom
**Total moment**: 0.025 μB/f.u.
**V**: 16.3 Å³ per atom

Entry from Alexandria: Al2Ag3 at its PBEsol-relaxed geometry (meta-GGA SCAN).

Lattice parameters (Å, degrees): 5.0035 5.6852 6.2313 103.99 97.64 106.93
Positions (direct):
Al 0.5991 0.4535 0.2112
Al 0.4009 0.5465 0.7888
Al 0.9895 0.2496 0.9984
Al 0.0105 0.7504 0.0016
Ag 0.2119 0.1517 0.3893
Ag 0.1885 0.6434 0.3877
Ag 0.8115 0.3566 0.6123
Ag 0.6112 0.9356 0.1871
Ag 0.7881 0.8483 0.6107
Ag 0.3888 0.0644 0.8129

## Properties
**Relative energy among the computed polymorphs**: 0 kJ/mol of formula units
**SG**: P-1 (2)
**DFT total energy**: -0.809 hartree per atom
**Formation enthalpy at 0 K**: -0.0972 eV/atom
**Total moment**: 0.002 μB/f.u.
**V**: 16.1 Å³ per atom

Entry from Alexandria: Al6Ag at its PBEsol-relaxed geometry (meta-GGA SCAN).

Lattice parameters (Å, degrees): 2.8716 2.8716 13.8920 95.93 95.93 90.00
Positions (direct):
Al 0.5705 0.5705 0.1409
Al 0.4295 0.4295 0.8591
Al 0.2852 0.2852 0.5704
Al 0.1431 0.1431 0.2861
Al 0.8569 0.8569 0.7139
Al 0.7148 0.7148 0.4296
Ag 0.0000 0.0000 0.0000

## Properties
**Relative energy among the computed polymorphs**: 13 kJ/mol of formula units
**SG**: I4/mmm (139)
**DFT total energy**: -0.409 hartree per atom
**Formation enthalpy at 0 K**: -0.0138 eV/atom
**Total moment**: 0.000 μB/f.u.
**V**: 16.2 Å³ per atom